Entry from the Alexandria database: a relaxed Be3PtCl crystal (PBE).

Cell: 3.993 3.993 3.993 Å, 90.00 90.00 90.00°
Element x y z (fractional)
Pt 0.500 0.500 0.500
Be 0.500 0.000 0.000
Be 0.000 0.500 0.000
Be 0.000 0.000 0.500
Cl 0.000 0.000 0.000

The distance to the lowest polymorph of the same formula comes out at 533 meV/atom. For the total energy, the calculation gives -3.0211 eV per atom. The calculation puts the total magnetization at 0.000 μB/atom. Its uncorrected formation energy is 0.79 eV/atom. Its volume is 12.73 Å³ per atom. As for the space group: No. 221.